No. 1
Compound: SrTmVN3
Source: Alexandria
Functional: GGA-PBE
Structure: optimized geometry

The structure in CIF format:
```
data_SrTmVN3
_chemical_formula_sum 'Sr4 Tm4 V4 N12'
_cell_length_a 13.0555
_cell_length_b 3.7931
_cell_length_c 7.1874
_cell_angle_alpha 90.00
_cell_angle_beta 105.19
_cell_angle_gamma 90.00
_space_group_name_H-M_alt 'C 1 2/m 1'
_space_group_IT_number 12
_space_group_name_Hall '-C 2y'
loop_
_atom_site_label
_atom_site_type_symbol
_atom_site_fract_x
_atom_site_fract_y
_atom_site_fract_z
Sr1 Sr 0.1470 0.0000 0.0758
Tm1 Tm 0.1563 0.0000 0.5756
V1 V 0.0002 0.5000 0.3007
N1 N 0.0044 0.0000 0.3139
N2 N 0.1478 0.5000 0.8048
N3 N 0.1592 0.5000 0.3471
```

V ... 14.31 Å³/atom
Energy relative to the elements, uncorrected ... -1074.7 meV/atom
Total magnetization ... 0.00 μB per cell

No. 2
Compound: GdTlHg
Source: Alexandria
Functional: GGA-PBE
Structure: optimized geometry

The structure in CIF format:
```
data_GdTlHg
_chemical_formula_sum 'Gd4 Tl4 Hg4'
_cell_length_a 7.0167
_cell_length_b 7.0167
_cell_length_c 7.0167
_cell_angle_alpha 90.00
_cell_angle_beta 90.00
_cell_angle_gamma 90.00
_space_group_name_H-M_alt 'F -4 3 m'
_space_group_IT_number 216
_space_group_name_Hall 'F -4 2 3'
loop_
_atom_site_label
_atom_site_type_symbol
_atom_site_fract_x
_atom_site_fract_y
_atom_site_fract_z
Gd1 Gd 0.0000 0.0000 0.0000
Tl1 Tl 0.0000 0.0000 0.5000
Hg1 Hg 0.2500 0.2500 0.7500
```

V ... 28.79 Å³/atom
Total magnetization ... 28.27 μB per cell
Calculated formation energy ... -0.30 eV/atom

No. 3
Compound: SbOsPt2
Source: Alexandria
Functional: GGA-PBE
Structure: optimized geometry

The structure in CIF format:
```
data_SbOsPt2
_chemical_formula_sum 'Sb2 Os2 Pt4'
_cell_length_a 4.2236
_cell_length_b 4.2236
_cell_length_c 7.4598
_cell_angle_alpha 90.00
_cell_angle_beta 90.00
_cell_angle_gamma 90.00
_space_group_name_H-M_alt 'I -4 m 2'
_space_group_IT_number 119
_space_group_name_Hall 'I -4 -2'
loop_
_atom_site_label
_atom_site_type_symbol
_atom_site_fract_x
_atom_site_fract_y
_atom_site_fract_z
Sb1 Sb 0.0000 0.0000 0.0000
Os1 Os 0.0000 0.5000 0.7500
Pt1 Pt 0.0000 0.0000 0.5000
Pt2 Pt 0.0000 0.5000 0.2500
```

V ... 16.63 Å³/atom
Energy relative to the elements, uncorrected ... 239.9 meV/atom
Total magnetization ... 0.00 μB per cell

No. 4
Compound: Dy2SiIr
Source: Alexandria
Functional: GGA-PBE
Structure: optimized geometry

The structure in CIF format:
```
data_Dy2SiIr
_chemical_formula_sum 'Dy4 Si2 Ir2'
_cell_length_a 5.6285
_cell_length_b 4.1449
_cell_length_c 7.9917
_cell_angle_alpha 90.00
_cell_angle_beta 108.79
_cell_angle_gamma 90.00
_space_group_name_H-M_alt 'P 1 21/m 1'
_space_group_IT_number 11
_space_group_name_Hall '-P 2yb'
loop_
_atom_site_label
_atom_site_type_symbol
_atom_site_fract_x
_atom_site_fract_y
_atom_site_fract_z
Dy1 Dy 0.1954 0.2500 0.4142
Dy2 Dy 0.2737 0.7500 0.0623
Si1 Si 0.3605 0.7500 0.7102
Ir1 Ir 0.1576 0.2500 0.7807
```

V ... 22.06 Å³/atom
Energy relative to the elements, uncorrected ... -852.8 meV/atom
Total magnetization ... 0.00 μB per cell

No. 5
Compound: Ti3Si4Ni2
Source: Alexandria
Functional: GGA-PBE
Structure: optimized geometry

The structure in CIF format:
```
data_Ti3Si4Ni2
_chemical_formula_sum 'Ti6 Si8 Ni4'
_cell_length_a 9.3180
_cell_length_b 3.8689
_cell_length_c 7.4041
_cell_angle_alpha 90.00
_cell_angle_beta 111.75
_cell_angle_gamma 90.00
_space_group_name_H-M_alt 'C 1 2/m 1'
_space_group_IT_number 12
_space_group_name_Hall '-C 2y'
loop_
_atom_site_label
_atom_site_type_symbol
_atom_site_fract_x
_atom_site_fract_y
_atom_site_fract_z
Ti1 Ti 0.0000 0.0000 0.0000
Ti2 Ti 0.1329 0.5000 0.6902
Si1 Si 0.0868 0.0000 0.4105
Si2 Si 0.2178 0.5000 0.0657
Ni1 Ni 0.1663 0.5000 0.3319
```

V ... 13.77 Å³/atom
Energy relative to the elements, uncorrected ... -693.0 meV/atom
Total magnetization ... 0.00 μB per cell

No. 6
Compound: ZrBe2Cl
Source: Alexandria
Functional: GGA-PBE
Structure: optimized geometry

The structure in CIF format:
```
data_ZrBe2Cl
_chemical_formula_sum 'Zr2 Be4 Cl2'
_cell_length_a 6.6352
_cell_length_b 3.3548
_cell_length_c 5.8945
_cell_angle_alpha 90.00
_cell_angle_beta 91.17
_cell_angle_gamma 90.00
_space_group_name_H-M_alt 'C 1 m 1'
_space_group_IT_number 8
_space_group_name_Hall 'C -2y'
loop_
_atom_site_label
_atom_site_type_symbol
_atom_site_fract_x
_atom_site_fract_y
_atom_site_fract_z
Zr1 Zr 0.0000 0.0000 0.0000
Be1 Be 0.1655 0.5000 0.7527
Be2 Be 0.3517 0.0000 0.6876
Cl1 Cl 0.3323 0.0000 0.3056
```

V ... 16.40 Å³/atom
Energy relative to the elements, uncorrected ... -271.8 meV/atom
Total magnetization ... 0.00 μB per cell

No. 7
Compound: Ta5Mo3
Source: Alexandria
Functional: GGA-PBE
Structure: optimized geometry

The structure in CIF format:
```
data_Ta5Mo3
_chemical_formula_sum 'Ta15 Mo9'
_cell_length_a 4.6551
_cell_length_b 4.6551
_cell_length_c 22.0805
_cell_angle_alpha 90.00
_cell_angle_beta 90.00
_cell_angle_gamma 120.00
_space_group_name_H-M_alt 'R -3 m'
_space_group_IT_number 166
_space_group_name_Hall '-R 3 2"'
loop_
_atom_site_label
_atom_site_type_symbol
_atom_site_fract_x
_atom_site_fract_y
_atom_site_fract_z
Ta1 Ta 0.0000 0.0000 0.0000
Ta2 Ta 0.0000 0.0000 0.2468
Ta3 Ta 0.0000 0.0000 0.3756
Mo1 Mo 0.0000 0.0000 0.1252
Mo2 Mo 0.0000 0.0000 0.5000
```

V ... 17.27 Å³/atom
Total magnetization ... 0.00 μB per cell
Calculated formation energy ... -0.07 eV/atom

No. 8
Compound: Ba2NaSrF
Source: Alexandria
Functional: GGA-PBE
Structure: optimized geometry

The structure in CIF format:
```
data_Ba2NaSrF
_chemical_formula_sum 'Ba2 Na1 Sr1 F1'
_cell_length_a 6.7032
_cell_length_b 6.7032
_cell_length_c 4.8187
_cell_angle_alpha 90.00
_cell_angle_beta 90.00
_cell_angle_gamma 90.00
_space_group_name_H-M_alt 'P 4/m m m'
_space_group_IT_number 123
_space_group_name_Hall '-P 4 2'
loop_
_atom_site_label
_atom_site_type_symbol
_atom_site_fract_x
_atom_site_fract_y
_atom_site_fract_z
Ba1 Ba 0.0000 0.5000 0.0000
Na1 Na 0.0000 0.0000 0.5000
Sr1 Sr 0.5000 0.5000 0.5000
F1 F 0.5000 0.5000 0.0000
```

V ... 43.30 Å³/atom
Energy relative to the elements, uncorrected ... -1027.0 meV/atom
Total magnetization ... 0.15 μB per cell

No. 9
Compound: BaLiZn2Ni
Source: Alexandria
Functional: GGA-PBE
Structure: optimized geometry

The structure in CIF format:
```
data_BaLiZn2Ni
_chemical_formula_sum 'Ba1 Li1 Zn2 Ni1'
_cell_length_a 4.7920
_cell_length_b 4.7920
_cell_length_c 4.9060
_cell_angle_alpha 90.00
_cell_angle_beta 90.00
_cell_angle_gamma 90.00
_space_group_name_H-M_alt 'P 4/m m m'
_space_group_IT_number 123
_space_group_name_Hall '-P 4 2'
loop_
_atom_site_label
_atom_site_type_symbol
_atom_site_fract_x
_atom_site_fract_y
_atom_site_fract_z
Ba1 Ba 0.0000 0.0000 0.0000
Li1 Li 0.5000 0.5000 0.0000
Zn1 Zn 0.0000 0.5000 0.5000
Ni1 Ni 0.5000 0.5000 0.5000
```

V ... 22.53 Å³/atom
Total magnetization ... 0.00 μB per cell
Calculated formation energy ... -0.10 eV/atom

No. 10
Compound: Na4CdGe
Source: Alexandria
Functional: GGA-PBE
Structure: optimized geometry

The structure in CIF format:
```
data_Na4CdGe
_chemical_formula_sum 'Na8 Cd2 Ge2'
_cell_length_a 9.4986
_cell_length_b 6.1367
_cell_length_c 6.6926
_cell_angle_alpha 90.00
_cell_angle_beta 90.00
_cell_angle_gamma 90.00
_space_group_name_H-M_alt 'P m n 21'
_space_group_IT_number 31
_space_group_name_Hall 'P 2ac -2'
loop_
_atom_site_label
_atom_site_type_symbol
_atom_site_fract_x
_atom_site_fract_y
_atom_site_fract_z
Na1 Na 0.0000 0.0221 0.0000
Na2 Na 0.0000 0.8074 0.4879
Na3 Na 0.2082 0.4175 0.2363
Cd1 Cd 0.0000 0.2889 0.5946
Ge1 Ge 0.0000 0.5447 0.9139
```

V ... 32.51 Å³/atom
Total magnetization ... 0.00 μB per cell
Calculated formation energy ... 0.00 eV/atom

No. 11
Compound: BaNi4Mo
Source: Alexandria
Functional: GGA-PBE
Structure: optimized geometry

The structure in CIF format:
```
data_BaNi4Mo
_chemical_formula_sum 'Ba4 Ni16 Mo4'
_cell_length_a 7.1914
_cell_length_b 7.1914
_cell_length_c 7.1914
_cell_angle_alpha 90.00
_cell_angle_beta 90.00
_cell_angle_gamma 90.00
_space_group_name_H-M_alt 'F -4 3 m'
_space_group_IT_number 216
_space_group_name_Hall 'F -4 2 3'
loop_
_atom_site_label
_atom_site_type_symbol
_atom_site_fract_x
_atom_site_fract_y
_atom_site_fract_z
Ba1 Ba 0.0000 0.0000 0.0000
Ni1 Ni 0.1228 0.1228 0.3772
Mo1 Mo 0.2500 0.2500 0.7500
```

V ... 15.50 Å³/atom
Total magnetization ... 14.62 μB per cell
Calculated formation energy ... 0.55 eV/atom

No. 12
Compound: CsBaCa2Rh
Source: Alexandria
Functional: GGA-PBE
Structure: optimized geometry

The structure in CIF format:
```
data_CsBaCa2Rh
_chemical_formula_sum 'Cs1 Ba1 Ca2 Rh1'
_cell_length_a 5.6639
_cell_length_b 5.6639
_cell_length_c 6.5916
_cell_angle_alpha 90.00
_cell_angle_beta 90.00
_cell_angle_gamma 90.00
_space_group_name_H-M_alt 'P 4/m m m'
_space_group_IT_number 123
_space_group_name_Hall '-P 4 2'
loop_
_atom_site_label
_atom_site_type_symbol
_atom_site_fract_x
_atom_site_fract_y
_atom_site_fract_z
Cs1 Cs 0.0000 0.0000 0.0000
Ba1 Ba 0.5000 0.5000 0.0000
Ca1 Ca 0.0000 0.5000 0.5000
Rh1 Rh 0.0000 0.0000 0.5000
```

V ... 42.29 Å³/atom
Total magnetization ... 0.00 μB per cell
Calculated formation energy ... 0.12 eV/atom